1.
Density functional theory data (PBE-GGA) for an optimized crystal structure of GaGe3S.

Summary:
The space group is No. 221. The density of states at the Fermi level is 0.457 states/eV/atom. For the energy, the calculation gives -3.475 eV/atom.

Cell lengths 4.925, 4.925, 4.925 Å; angles 90.00, 90.00, 90.00 degrees
Element x y z (fractional)
Ga  0.000  0.000  0.000
Ge  0.000  0.000  0.500
Ge  0.000  0.500  0.000
Ge  0.500  0.000  0.000
S  0.500  0.500  0.500

2.
Density functional theory data (PBE-GGA) for an optimized crystal structure of Rb2CdAuI6.

Summary:
The space group is No. 2. The density of states at the Fermi level is 0.347 states/eV/atom. For the energy, the calculation gives -2.290 eV/atom.

Cell lengths 7.969, 7.998, 8.938 Å; angles 65.72, 89.93, 60.84 degrees
Element x y z (fractional)
Rb  0.223  0.053  0.214
Rb  0.777  0.947  0.786
Cd  0.000  0.500  0.500
Au  0.500  0.500  0.000
I  0.205  0.589  0.175
I  0.218  0.055  0.629
I  0.307  0.404  0.819
I  0.693  0.596  0.181
I  0.782  0.945  0.371
I  0.795  0.411  0.825

3.
Density functional theory data (PBE-GGA) for an optimized crystal structure of DyY3Cl.

Summary:
The space group is No. 221. The density of states at the Fermi level is 1.441 states/eV/atom. For the energy, the calculation gives -5.618 eV/atom.

Cell lengths 5.293, 5.293, 5.293 Å; angles 90.00, 90.00, 90.00 degrees
Element x y z (fractional)
Dy  0.000  0.000  0.000
Y  0.000  0.500  0.500
Y  0.500  0.000  0.500
Y  0.500  0.500  0.000
Cl  0.500  0.500  0.500

4.
Density functional theory data (PBE-GGA) for an optimized crystal structure of PmTh2Ge.

Summary:
The space group is No. 123. The calculation puts the energy relative to the elements at -0.26 eV/atom. The density of states at the Fermi level is 1.142 states/eV/atom. For the energy, the calculation gives -6.312 eV/atom.

Cell lengths 4.784, 4.784, 4.847 Å; angles 90.00, 90.00, 90.00 degrees
Element x y z (fractional)
Pm  0.000  0.000  0.000
Th  0.000  0.500  0.500
Th  0.500  0.000  0.500
Ge  0.500  0.500  0.000

5.
Density functional theory data (PBE-GGA) for an optimized crystal structure of K2SrRhF8.

Summary:
The space group is No. 10. The density of states at the Fermi level is 0.546 states/eV/atom. For the energy, the calculation gives -4.734 eV/atom.

Cell lengths 4.322, 7.734, 6.135 Å; angles 90.00, 96.69, 90.00 degrees
Element x y z (fractional)
K  0.000  0.244  0.000
K  0.000  0.756  0.000
Sr  0.500  0.500  0.500
Rh  0.500  0.000  0.500
F  0.001  0.500  0.731
F  0.113  0.000  0.312
F  0.411  0.196  0.693
F  0.411  0.804  0.693
F  0.589  0.196  0.307
F  0.589  0.804  0.307
F  0.887  0.000  0.688
F  0.999  0.500  0.269

6.
Density functional theory data (PBE-GGA) for an optimized crystal structure of KZr2Cl8.

Summary:
The space group is No. 12. The density of states at the Fermi level is 0.712 states/eV/atom. For the energy, the calculation gives -4.664 eV/atom.

Cell lengths 7.939, 7.939, 8.221 Å; angles 104.97, 104.97, 55.98 degrees
Element x y z (fractional)
K  0.000  0.000  0.000
Zr  0.207  0.207  0.691
Zr  0.793  0.793  0.309
Cl  0.116  0.629  0.212
Cl  0.170  0.170  0.386
Cl  0.371  0.884  0.788
Cl  0.383  0.383  0.807
Cl  0.617  0.617  0.193
Cl  0.629  0.116  0.212
Cl  0.830  0.830  0.614
Cl  0.884  0.371  0.788

7.
Density functional theory data (PBE-GGA) for an optimized crystal structure of InHg4Pb15.

Summary:
The space group is No. 123. The calculation puts the energy relative to the elements at 0.00 eV/atom. The density of states at the Fermi level is 0.191 states/eV/atom. For the energy, the calculation gives -2.980 eV/atom.

Cell lengths 4.854, 4.854, 25.434 Å; angles 90.00, 90.00, 90.00 degrees
Element x y z (fractional)
In  0.000  0.000  0.000
Hg  0.000  0.000  0.201
Hg  0.000  0.000  0.400
Hg  0.000  0.000  0.600
Hg  0.000  0.000  0.799
Pb  0.000  0.500  0.102
Pb  0.000  0.500  0.301
Pb  0.000  0.500  0.500
Pb  0.000  0.500  0.699
Pb  0.000  0.500  0.898
Pb  0.500  0.000  0.102
Pb  0.500  0.000  0.301
Pb  0.500  0.000  0.500
Pb  0.500  0.000  0.699
Pb  0.500  0.000  0.898
Pb  0.500  0.500  0.000
Pb  0.500  0.500  0.201
Pb  0.500  0.500  0.400
Pb  0.500  0.500  0.600
Pb  0.500  0.500  0.799

8.
Density functional theory data (PBE-GGA) for an optimized crystal structure of CaYOs.

Summary:
The space group is No. 216. The calculation puts the energy relative to the elements at 0.23 eV/atom. The density of states at the Fermi level is 0.803 states/eV/atom. For the energy, the calculation gives -6.339 eV/atom.

Cell lengths 4.809, 4.809, 4.809 Å; angles 60.00, 60.00, 60.00 degrees
Element x y z (fractional)
Ca  0.000  0.000  0.000
Y  0.500  0.500  0.500
Os  0.750  0.750  0.750

9.
Density functional theory data (PBE-GGA) for an optimized crystal structure of Na6Pm4F19.

Summary:
The space group is No. 197. The density of states at the Fermi level is 1.082 states/eV/atom. For the energy, the calculation gives -5.463 eV/atom.

Cell lengths 8.117, 8.117, 8.117 Å; angles 109.47, 109.47, 109.47 degrees
Element x y z (fractional)
Na  0.158  0.500  0.658
Na  0.342  0.842  0.500
Na  0.500  0.342  0.842
Na  0.500  0.658  0.158
Na  0.658  0.158  0.500
Na  0.842  0.500  0.342
Pm  0.000  0.000  0.314
Pm  0.000  0.314  0.000
Pm  0.314  0.000  0.000
Pm  0.686  0.686  0.686
F  0.000  0.000  0.000
F  0.000  0.282  0.282
F  0.000  0.718  0.718
F  0.040  0.605  0.229
F  0.189  0.564  0.960
F  0.229  0.040  0.605
F  0.282  0.000  0.282
F  0.282  0.282  0.000
F  0.375  0.811  0.771
F  0.395  0.436  0.625
F  0.436  0.625  0.395
F  0.564  0.960  0.189
F  0.605  0.229  0.040
F  0.625  0.395  0.436
F  0.718  0.000  0.718
F  0.718  0.718  0.000
F  0.771  0.375  0.811
F  0.811  0.771  0.375
F  0.960  0.189  0.564

10.
Density functional theory data (PBE-GGA) for an optimized crystal structure of AlSb2Rh.

Summary:
The space group is No. 123. The density of states at the Fermi level is 0.663 states/eV/atom. For the energy, the calculation gives -4.713 eV/atom.

Cell lengths 4.685, 4.685, 3.663 Å; angles 90.00, 90.00, 90.00 degrees
Element x y z (fractional)
Al  0.000  0.000  0.000
Sb  0.000  0.500  0.500
Sb  0.500  0.000  0.500
Rh  0.500  0.500  0.000

11.
Density functional theory data (PBE-GGA) for an optimized crystal structure of ScTaPd3.

Summary:
The space group is No. 221. The calculation puts the energy relative to the elements at 0.45 eV/atom. The density of states at the Fermi level is 0.982 states/eV/atom. For the energy, the calculation gives -6.306 eV/atom.

Cell lengths 4.822, 4.822, 4.822 Å; angles 90.00, 90.00, 90.00 degrees
Element x y z (fractional)
Sc  0.000  0.000  0.000
Ta  0.500  0.500  0.500
Pd  0.000  0.500  0.500
Pd  0.500  0.000  0.500
Pd  0.500  0.500  0.000

12.
Density functional theory data (PBE-GGA) for an optimized crystal structure of CdIn14Ga.

Summary:
The space group is No. 65. The calculation puts the energy relative to the elements at 0.03 eV/atom. The density of states at the Fermi level is 0.396 states/eV/atom. For the energy, the calculation gives -2.617 eV/atom.

Cell lengths 6.879, 6.879, 8.959 Å; angles 90.00, 90.00, 95.97 degrees
Element x y z (fractional)
Cd  0.000  0.000  0.000
In  0.000  0.000  0.500
In  0.000  0.500  0.000
In  0.000  0.500  0.500
In  0.251  0.749  0.246
In  0.251  0.749  0.754
In  0.252  0.252  0.240
In  0.252  0.252  0.760
In  0.500  0.000  0.000
In  0.500  0.000  0.500
In  0.500  0.500  0.500
In  0.748  0.748  0.240
In  0.748  0.748  0.760
In  0.749  0.251  0.246
In  0.749  0.251  0.754
Ga  0.500  0.500  0.000